Compound: Pr4GaSbS9
Source: the Alexandria database
Functional: SCAN
Structure: PBEsol geometry

The formation energy from raw total energies comes out at -171.3 kJ per mole of atoms. As for the space group: Aea2, No. 41. For the total energy, the calculation gives -1360.8 eV for the cell shown. The density comes out at 4.99 g/cm³.

Cell lengths 10.0514, 10.0514, 13.7439 Å; angles 90.00, 90.00, 91.31 degrees
Atoms (fractional coordinates):
S 0.1835 0.3202 0.4331
S 0.1667 0.0192 0.6008
S 0.9890 0.6179 0.9989
S 0.1695 0.6488 0.5803
S 0.3512 0.8305 0.4197
S 0.6824 0.2913 0.2980
S 0.3907 0.1381 0.7539
S 0.1798 0.4300 0.1906
S 0.0044 0.9956 0.0000
S 0.8907 0.6381 0.7461
S 0.8821 0.5110 0.4989
S 0.5700 0.8202 0.8094
S 0.8512 0.3305 0.0803
S 0.4808 0.3333 0.1008
S 0.3619 0.1093 0.2539
S 0.1824 0.7913 0.2020
S 0.6798 0.9300 0.3094
S 0.8677 0.1323 0.5000
S 0.4890 0.1179 0.5011
S 0.8619 0.6093 0.2461
S 0.9958 0.1195 0.2488
S 0.5044 0.4956 0.5000
S 0.1798 0.3165 0.9331
S 0.2087 0.8176 0.7980
S 0.9808 0.8333 0.3992
S 0.3677 0.6323 0.0000
S 0.6798 0.8165 0.5669
S 0.3821 0.0110 0.0011
S 0.6667 0.5192 0.8992
S 0.7087 0.3176 0.7020
S 0.6835 0.8202 0.0669
S 0.6695 0.1488 0.9197
S 0.3805 0.5042 0.7488
S 0.4958 0.6195 0.2512
S 0.0700 0.3202 0.6906
S 0.8805 0.0042 0.7512
Sb 0.8281 0.3366 0.8883
Sb 0.3281 0.8366 0.6117
Sb 0.6634 0.1719 0.1117
Sb 0.1634 0.6719 0.3883
Pr 0.9105 0.8724 0.1832
Pr 0.4105 0.3724 0.3168
Pr 0.3335 0.3167 0.6019
Pr 0.6833 0.6665 0.3981
Pr 0.9570 0.3747 0.3208
Pr 0.6276 0.5895 0.6832
Pr 0.4570 0.8747 0.1792
Pr 0.1833 0.1665 0.1019
Pr 0.6734 0.5481 0.1043
Pr 0.1253 0.5430 0.8208
Pr 0.1734 0.0481 0.3957
Pr 0.1276 0.0895 0.8168
Pr 0.6253 0.0430 0.6792
Pr 0.8335 0.8167 0.8981
Pr 0.4519 0.3266 0.8957
Pr 0.9519 0.8266 0.6043
Ga 0.1753 0.6158 0.0940
Ga 0.6753 0.1158 0.4060
Ga 0.3842 0.8247 0.9060
Ga 0.8842 0.3247 0.5940